1.
A relaxed Li2Ni2Sn3 crystal. Source: Alexandria, functional PBE-GGA.

Results
- DFT formation energy (eV/atom) = -0.180
- space-group type = R-3m, No. 166
- distance to the lowest polymorph of the same formula (meV per atom) = 34
- magnetization (μB per cell) = 0.0

a b c (Å): 8.511 8.511 8.511
angles (deg): 29.48 29.48 29.48
Element x y z (fractional)
Li (0.132, 0.132, 0.132)
Li (0.868, 0.868, 0.868)
Ni (0.366, 0.366, 0.366)
Ni (0.634, 0.634, 0.634)
Sn (0.000, 0.000, 0.000)
Sn (0.251, 0.251, 0.251)
Sn (0.749, 0.749, 0.749)


2.
A relaxed Pm2Y7 crystal. Source: Alexandria, functional PBE-GGA.

Results
- DFT formation energy (eV/atom) = 0.020
- space-group type = P-31m, No. 162
- distance to the lowest polymorph of the same formula (meV per atom) = 0
- magnetization (μB per cell) = 0.0

a b c (Å): 6.216 6.216 8.782
angles (deg): 90.00 90.00 120.00
Element x y z (fractional)
Pm (0.333, 0.667, 0.000)
Pm (0.667, 0.333, 0.000)
Y (0.000, 0.000, 0.000)
Y (0.000, 0.333, 0.665)
Y (0.000, 0.667, 0.335)
Y (0.333, 0.000, 0.665)
Y (0.333, 0.333, 0.335)
Y (0.667, 0.000, 0.335)
Y (0.667, 0.667, 0.665)